[1]
Below is an optimized crystal structure of Mg2HPdPt, with properties calculated at the PBE-GGA level.

Values from the calculation:
polymorph energy (0 for the lowest one) = 0.002 eV per atom
energy = -20.74 eV for the cell shown
volume = 13.8 Å³/atom

abc: 4.4756 4.4756 3.4385
angles: 90.00 90.00 90.00
Closest atoms and distances in Å follow each position.
Fractional coordinates of all 5 atoms:
1 Mg 0.0000 0.5000 0.0000  2 H 2.24
2 Mg 0.5000 0.0000 0.0000  2 H 2.24
3 H 0.0000 0.0000 0.0000  2 Pt 1.72
4 Pd 0.5000 0.5000 0.5000  8 Mg 2.82
5 Pt 0.0000 0.0000 0.5000  2 H 1.72



[2]
Below is an optimized crystal structure of Mg2HPdPt, with properties calculated at the PBE-GGA level.

Values from the calculation:
polymorph energy (0 for the lowest one) = 0.000 eV per atom
energy = -20.75 eV for the cell shown
volume = 13.6 Å³/atom

abc: 4.4455 4.4455 3.4338
angles: 90.00 90.00 90.00
Closest atoms and distances in Å follow each position.
Fractional coordinates of all 5 atoms:
1 Mg 0.0000 0.5000 0.0000  2 H 2.22
2 Mg 0.5000 0.0000 0.0000  2 H 2.22
3 H 0.0000 0.0000 0.0000  2 Pd 1.72
4 Pd 0.0000 0.0000 0.5000  2 H 1.72
5 Pt 0.5000 0.5000 0.5000  8 Mg 2.81, 4 Pd 3.14



[3]
Below is an optimized crystal structure of Mg2H6PdPt, with properties calculated at the PBE-GGA level.

Values from the calculation:
energy = -36.35 eV for the cell shown
volume = 9.6 Å³/atom

abc: 4.5539 4.9643 5.0178
angles: 71.75 68.20 68.70
Closest atoms and distances in Å follow each position.
Fractional coordinates of all 10 atoms:
1 Mg 0.0000 0.0000 0.0000  4 H 2.05-2.25
2 Mg 0.4555 0.5179 0.5191  4 H 2.05-2.25
3 H 0.0062 0.3543 0.1244  1 Pt 1.77, 1 Pd 1.96
4 H 0.4398 0.4017 0.1644  1 Pt 1.77, 1 Pd 1.93
5 H 0.4543 0.9631 0.6371  1 Pt 1.76
6 H 0.5693 0.8841 0.1316  1 Pd 1.79, 1 Pt 1.94
7 H 0.8760 0.3885 0.6414  1 Pd 1.79, 1 Pt 1.94
8 H 0.9917 0.8798 0.5658  1 Pt 1.76, 1 Pd 1.97
9 Pd 0.7240 0.6377 0.8845  5 H 1.79-1.97
10 Pt 0.2230 0.1374 0.3847  6 H 1.76-1.94



[4]
Below is an optimized crystal structure of MgH6Pd2Pt, with properties calculated at the PBE-GGA level.

Values from the calculation:
energy = -39.71 eV for the cell shown
volume = 9.5 Å³/atom

abc: 4.7423 4.8000 5.2443
angles: 66.02 71.13 62.66
Closest atoms and distances in Å follow each position.
Fractional coordinates of all 10 atoms:
1 Mg 0.0000 0.0000 0.0000  4 H 2.16-2.41
2 H 0.0207 0.4698 0.0788  1 Pt 1.83, 2 Pd 1.83-1.90
3 H 0.1018 0.7887 0.6193  1 Pd 1.71, 1 Pt 1.76
4 H 0.2574 0.2729 0.6472  1 Pt 1.70, 1 Pd 1.90
5 H 0.5214 0.0269 0.0413  1 Pt 1.76
6 H 0.5643 0.6393 0.8631  1 Pt 1.74, 1 Pd 1.75
7 H 0.7508 0.3494 0.5513  1 Pt 1.81, 2 Pd 1.84-1.98
8 Pd 0.2017 0.1187 0.3931  3 H 1.71-1.90
9 Pd 0.5953 0.5353 0.2164  3 H 1.75-1.84
10 Pt 0.3828 0.4292 0.8080  6 H 1.70-1.83



[5]
Below is an optimized crystal structure of Mg2H8Pd3Pt, with properties calculated at the PBE-GGA level.

Values from the calculation:
energy = -52.91 eV for the cell shown
volume = 9.4 Å³/atom

abc: 5.7223 5.7223 5.7223
angles: 59.89 59.89 59.89
Closest atoms and distances in Å follow each position.
Fractional coordinates of all 14 atoms:
1 Mg 0.0000 0.0000 0.0000  4 H 1.97-2.02
2 Mg 0.3701 0.3701 0.3701  6 H 2.05-2.23
3 H 0.1042 0.6457 0.6457  1 Pt 1.78, 2 Pd 1.97
4 H 0.1182 0.1182 0.5810  2 Pd 1.89, 2 Mg 1.97-2.05
5 H 0.1182 0.5810 0.1182  2 Pd 1.89, 2 Mg 1.97-2.05
6 H 0.1437 0.1437 0.1437  3 Pd 1.84, 1 Mg 2.02
7 H 0.5810 0.1182 0.1182  2 Pd 1.89, 2 Mg 1.97-2.05
8 H 0.6053 0.6053 0.6053  1 Pt 1.76, 3 Pd 1.92
9 H 0.6457 0.1042 0.6457  1 Pt 1.78, 2 Pd 1.97
10 H 0.6457 0.6457 0.1042  1 Pt 1.78, 2 Pd 1.97
11 Pd 0.3678 0.3678 0.8659  6 H 1.84-1.97
12 Pd 0.3678 0.8659 0.3678  6 H 1.84-1.97
13 Pd 0.8659 0.3678 0.3678  6 H 1.84-1.97
14 Pt 0.7310 0.7310 0.7310  4 H 1.76-1.78



[6]
Below is an optimized crystal structure of MgH4Pd2Pt, with properties calculated at the PBE-GGA level.

Values from the calculation:
energy = -33.34 eV for the cell shown
volume = 10.0 Å³/atom

abc: 5.4215 5.4073 4.2027
angles: 67.34 66.98 45.67
Closest atoms and distances in Å follow each position.
Fractional coordinates of all 8 atoms:
1 Mg 0.0000 0.0000 0.0000  4 H 2.13-2.14
2 H 0.1544 0.5694 0.8456  1 Pt 1.76, 2 Pd 1.82
3 H 0.4266 0.8485 0.1515  1 Pt 1.76, 2 Pd 1.82
4 H 0.5694 0.1544 0.4306  1 Pt 1.76, 2 Pd 1.82
5 H 0.8485 0.4266 0.5734  1 Pt 1.76, 2 Pd 1.82
6 Pd 0.2511 0.2511 0.2489  4 H 1.82
7 Pd 0.7511 0.7511 0.7489  4 H 1.82
8 Pt 0.5013 0.5013 0.4987  4 H 1.76